[1]
The following is a DFT calculation (SCAN) of a crystal of Mg2ScBP relaxed with PBEsol.

```
5
Lattice="-3.705 2.399 -1.445 -2.748 -3.578 1.105 -0.567 1.814 4.465" Properties=species:S:1:pos:R:3 pbc="T T T"
B -3.510 0.318 2.062
Mg -1.853 1.200 -0.723
Mg -1.374 -1.789 0.553
P 0.000 0.000 0.000
Sc -0.283 0.907 2.232
```

Properties
D(E_F): 3.83 states/eV/cell
raw total energy: -39.88 eV per cell
volume: 20.940 A^3/atom



[2]
The following is a DFT calculation (SCAN) of a crystal of MgB2Pb relaxed with PBEsol.

```
4
Lattice="-1.305 3.548 2.343 -4.308 0.585 0.935 -1.459 -0.503 4.171" Properties=species:S:1:pos:R:3 pbc="T T T"
B -5.304 2.722 5.586
B -1.768 0.907 1.862
Mg 0.000 0.000 0.000
Pb -3.536 1.815 3.724
```

Properties
D(E_F): 1.57 states/eV/cell
raw total energy: -89.93 eV per cell
volume: 15.550 A^3/atom



[3]
The following is a DFT calculation (SCAN) of a crystal of MgBPt3 relaxed with PBEsol.

```
5
Lattice="4.168 0.000 0.000 0.000 4.168 0.000 0.000 0.000 4.168" Properties=species:S:1:pos:R:3 pbc="T T T"
B 0.000 0.000 0.000
Mg 2.084 2.084 2.084
Pt 0.000 2.084 0.000
Pt 0.000 0.000 2.084
Pt 2.084 0.000 0.000
```

Properties
D(E_F): 3.60 states/eV/cell
raw total energy: -225.62 eV per cell
volume: 14.483 A^3/atom



[4]
The following is a DFT calculation (SCAN) of a crystal of Rb2MgBRh relaxed with PBEsol.

```
5
Lattice="-3.409 -3.021 1.150 4.010 -4.965 -1.155 1.958 0.144 6.181" Properties=species:S:1:pos:R:3 pbc="T T T"
Rb 0.979 0.072 3.091
Rb 2.005 -2.482 -0.578
Rh -1.705 -1.511 0.575
B 1.280 -3.921 3.088
Mg 0.000 0.000 0.000
```

Properties
D(E_F): 2.84 states/eV/cell
raw total energy: -80.39 eV per cell
volume: 39.524 A^3/atom